1.
Entry from Alexandria: an optimized crystal structure of SiSnGeB2 (PBE-GGA).

Its density is 4.18 g/cm3. For the calculated volume, the calculation gives 19.2 Å³/atom. The final energy is -3.957 eV/atom.

Geometry as POSCAR:
```
SiSnGeB2
1.0
-2.7711 2.7863 1.1709
-4.0771 -3.9752 -0.1896
0.7242 -0.9301 3.9274
Ge Sn Si B
1 1 1 2
Direct
0.0000 0.0000 0.0000 Ge
0.0000 0.5000 0.0000 Sn
0.5000 0.5000 0.5000 Si
0.5000 0.0000 0.0000 B
0.0000 0.0000 0.5000 B
```

***

2.
Entry from Alexandria: an optimized crystal structure of TbPu2CuSe5 (PBE-GGA).

Its density is 8.67 g/cm3. For the calculated volume, the calculation gives 23.5 Å³/atom. The final energy is -7.443 eV/atom.

Geometry as POSCAR:
```
TbPu2CuSe5
1.0
3.9969 0.0000 0.0000
-1.9984 8.6708 0.0000
0.0000 0.0000 12.2213
Se Pu Tb Cu
10 4 2 2
Direct
0.6879 0.3759 0.8554 Se
0.5031 0.0062 0.2475 Se
0.9848 0.9695 0.5201 Se
0.0152 0.0305 0.0201 Se
0.3044 0.6087 0.6923 Se
0.6541 0.3082 0.5178 Se
0.6956 0.3913 0.1923 Se
0.3121 0.6241 0.3554 Se
0.4969 0.9938 0.7475 Se
0.3459 0.6918 0.0178 Se
0.8826 0.7651 0.1929 Pu
0.8942 0.7883 0.8477 Pu
0.1058 0.2117 0.3477 Pu
0.1174 0.2349 0.6929 Pu
0.8197 0.6395 0.5262 Tb
0.1803 0.3605 0.0262 Tb
0.5552 0.1104 0.9242 Cu
0.4448 0.8896 0.4242 Cu
```

***

3.
Entry from Alexandria: an optimized crystal structure of YCrP2Cl (PBE-GGA).

Its density is 2.72 g/cm3. For the calculated volume, the calculation gives 29.1 Å³/atom. The final energy is -5.472 eV/atom. The value obtained for the excess energy over the best structure of this formula in the dataset is 3.243 eV/f.u.

Geometry as POSCAR:
```
YCrP2Cl
1.0
-4.1641 -3.3117 -0.2144
3.2842 -4.1617 0.4966
-0.4591 0.2468 5.1043
Cr Y P Cl
1 1 2 1
Direct
0.5000 0.5000 0.5000 Cr
0.0000 0.0000 0.0000 Y
0.0000 0.5000 0.0000 P
0.5000 0.0000 0.0000 P
0.0000 0.0000 0.5000 Cl
```

***

4.
Entry from Alexandria: an optimized crystal structure of MnZnSb2 (PBE-GGA).

Its density is 7.49 g/cm3. For the calculated volume, the calculation gives 20.2 Å³/atom. The final energy is -4.413 eV/atom.

Geometry as POSCAR:
```
MnZnSb2
1.0
-0.7595 2.8912 0.9782
-1.0012 -1.1883 2.7347
7.4761 0.9047 3.1303
Zn Sb Mn
1 2 1
Direct
0.5000 0.5000 0.2500 Zn
0.0000 0.0000 0.9454 Sb
0.0000 0.0000 0.5546 Sb
0.5000 0.5000 0.7500 Mn
```

***

5.
Entry from Alexandria: an optimized crystal structure of Nb2GaSi (PBE-GGA).

Its density is 6.76 g/cm3. For the calculated volume, the calculation gives 17.4 Å³/atom. The final energy is -7.197 eV/atom.

Geometry as POSCAR:
```
Nb2GaSi
1.0
-1.3380 -1.5656 6.6884
2.1390 -6.5702 -1.1100
3.0537 -3.3232 3.4943
Si Nb Ga
2 4 2
Direct
0.2500 0.7500 0.5000 Si
0.5000 0.5000 0.0000 Si
0.3750 0.3867 0.7500 Nb
0.1367 0.6250 0.2500 Nb
0.8750 0.8633 0.7500 Nb
0.6133 0.1250 0.2500 Nb
0.7500 0.2500 0.5000 Ga
0.0000 0.0000 0.0000 Ga
```

***

6.
Entry from Alexandria: an optimized crystal structure of ReHg2Rh (PBE-GGA).

Its density is 15.38 g/cm3. For the calculated volume, the calculation gives 18.6 Å³/atom. As for the energy of formation from the pure elements: 585 meV per atom. The final energy is -4.516 eV/atom. The value obtained for the excess energy over the best structure of this formula in the dataset is 1.250 eV/f.u.

Geometry as POSCAR:
```
ReHg2Rh
1.0
-3.7808 -0.9864 4.6808
0.3533 2.7805 5.4149
-0.7889 -0.0630 -6.0457
Rh Hg Re
1 2 1
Direct
0.7207 0.2207 0.5000 Rh
0.2742 0.7742 0.5000 Hg
0.9791 0.9791 0.0000 Hg
0.5261 0.5261 0.0000 Re
```

***

7.
Entry from Alexandria: an optimized crystal structure of Ba2LaHO (PBE-GGA).

Its density is 4.30 g/cm3. For the calculated volume, the calculation gives 33.3 Å³/atom. The final energy is -3.071 eV/atom.

Geometry as POSCAR:
```
Ba2LaHO
1.0
6.2862 0.0000 0.0000
0.0000 4.2118 0.0000
0.0000 0.0000 6.2862
O Ba La H
1 2 1 1
Direct
0.5000 0.5000 0.5000 O
0.0000 0.0000 0.5000 Ba
0.5000 0.0000 0.0000 Ba
0.0000 0.0000 0.0000 La
0.0000 0.5000 0.0000 H
```

***

8.
Entry from Alexandria: an optimized crystal structure of NdZn3CuRh (PBE-GGA).

Its density is 7.93 g/cm3. For the calculated volume, the calculation gives 17.7 Å³/atom. As for the energy of formation from the pure elements: -240 meV per atom. The final energy is -3.579 eV/atom.

Geometry as POSCAR:
```
NdZn3CuRh
1.0
5.4015 0.0000 0.0000
0.0000 6.0883 0.0000
0.0000 -3.0442 6.4560
Zn Cu Nd Rh
6 2 2 2
Direct
0.5000 0.2957 0.0000 Zn
0.7500 0.8610 0.7220 Zn
0.0000 0.7044 0.0000 Zn
0.0000 0.2957 0.0000 Zn
0.2500 0.1390 0.2780 Zn
0.5000 0.7044 0.0000 Zn
0.2500 0.9302 0.8605 Cu
0.7500 0.0698 0.1395 Cu
0.2500 0.7131 0.4262 Nd
0.7500 0.2869 0.5738 Nd
0.7500 0.6546 0.3091 Rh
0.2500 0.3454 0.6909 Rh
```

***

9.
Entry from Alexandria: an optimized crystal structure of AcCe4Mg (PBE-GGA).

Its density is 7.34 g/cm3. For the calculated volume, the calculation gives 30.6 Å³/atom. As for the energy of formation from the pure elements: 213 meV per atom. The final energy is -4.693 eV/atom.

Geometry as POSCAR:
```
AcCe4Mg
1.0
-3.5928 -1.8648 4.9306
1.9186 -4.8314 3.6977
1.9435 1.1294 5.9702
Ce Ac Mg
4 1 1
Direct
0.6386 0.6386 0.0843 Ce
0.6386 0.6386 0.6386 Ce
0.0843 0.6386 0.6386 Ce
0.6386 0.0843 0.6386 Ce
0.2500 0.2500 0.2500 Ac
0.0000 0.0000 0.0000 Mg
```

***

10.
Entry from Alexandria: an optimized crystal structure of Ti2NbZn2 (PBE-GGA).

Its density is 6.49 g/cm3. For the calculated volume, the calculation gives 16.4 Å³/atom. As for the energy of formation from the pure elements: -29 meV per atom. The final energy is -5.710 eV/atom. The value obtained for the excess energy over the best structure of this formula in the dataset is 0.245 eV/f.u.

Geometry as POSCAR:
```
Ti2NbZn2
1.0
-4.0858 0.8551 6.0080
5.3926 -2.8102 4.0673
1.1625 2.7983 0.3922
Nb Ti Zn
2 4 4
Direct
0.0000 0.0000 0.0000 Nb
0.5000 0.5000 0.0000 Nb
0.6795 0.8205 0.5000 Ti
0.1795 0.6795 0.5000 Ti
0.8205 0.3205 0.5000 Ti
0.3205 0.1795 0.5000 Ti
0.1205 0.3795 0.0000 Zn
0.8795 0.6205 0.0000 Zn
0.3795 0.8795 0.0000 Zn
0.6205 0.1205 0.0000 Zn
```

***

11.
Entry from Alexandria: an optimized crystal structure of CaPmPH (PBE-GGA).

Its density is 4.63 g/cm3. For the calculated volume, the calculation gives 19.5 Å³/atom. The final energy is -4.539 eV/atom.

Geometry as POSCAR:
```
CaPmPH
1.0
-0.9843 4.5357 1.1971
-3.1093 0.9267 3.5282
1.5650 1.7718 4.1697
H Ca P Pm
1 1 1 1
Direct
0.2500 0.2500 0.2500 H
0.5000 0.5000 0.5000 Ca
0.7500 0.7500 0.7500 P
0.0000 0.0000 0.0000 Pm
```

***

12.
Entry from Alexandria: an optimized crystal structure of Th2Co4Ge3 (PBE-GGA).

Its density is 10.50 g/cm3. For the calculated volume, the calculation gives 16.1 Å³/atom. As for the energy of formation from the pure elements: -485 meV per atom. The final energy is -6.831 eV/atom.

Geometry as POSCAR:
```
Th2Co4Ge3
1.0
-2.2697 4.8478 1.6711
-1.6065 -2.8252 6.0139
7.8283 -0.2573 1.9703
Th Co Ge
4 8 6
Direct
0.1070 0.5830 0.2139 Th
0.6070 0.9170 0.2139 Th
0.3930 0.0830 0.7861 Th
0.8930 0.4170 0.7861 Th
0.6720 0.5161 0.3441 Co
0.3230 0.2500 0.1459 Co
0.1720 0.9839 0.3441 Co
0.8280 0.0161 0.6559 Co
0.8230 0.2500 0.1459 Co
0.1770 0.7500 0.8541 Co
0.6770 0.7500 0.8541 Co
0.3280 0.4839 0.6559 Co
0.0000 0.0000 0.0000 Ge
0.0177 0.7500 0.5354 Ge
0.4823 0.2500 0.4646 Ge
0.9823 0.2500 0.4646 Ge
0.5177 0.7500 0.5354 Ge
0.5000 0.5000 0.0000 Ge
```